w | # BeZnPt4 PBE optimized geometry
# calculated volume	101	Å³/f.u.
data_BeZnPt4
_space_group_name_H-M_alt 'F -4 3 m'
_space_group_IT_number 216
_space_group_name_Hall 'F -4 2 3'
_cell_length_a 7.398
_cell_length_b 7.398
_cell_length_c 7.398
_cell_angle_alpha 90.00
_cell_angle_beta 90.00
_cell_angle_gamma 90.00
loop_
_atom_site_label
_atom_site_fract_x
_atom_site_fract_y
_atom_site_fract_z
Be1 0.000 0.000 0.000
Zn1 0.250 0.250 0.250
Pt1 0.125 0.125 0.625

x | # BeZnPt4 PBE optimized geometry
# calculated volume	93	Å³/f.u.
data_BeZnPt4
_space_group_name_H-M_alt 'P 4/m m m'
_space_group_IT_number 123
_space_group_name_Hall '-P 4 2'
_cell_length_a 3.966
_cell_length_b 3.966
_cell_length_c 5.912
_cell_angle_alpha 90.00
_cell_angle_beta 90.00
_cell_angle_gamma 90.00
loop_
_atom_site_label
_atom_site_fract_x
_atom_site_fract_y
_atom_site_fract_z
Be1 0.000 0.000 0.000
Zn1 0.500 0.500 0.500
Pt1 0.000 0.500 0.230

The most stable arrangement is x, and the next structure is 517 meV/atom less stable.

w | # ZrBe3Pt PBE optimized geometry
# calculated volume	85	Å³/f.u.
data_ZrBe3Pt
_space_group_name_H-M_alt 'P m -3 m'
_space_group_IT_number 221
_space_group_name_Hall '-P 4 2 3'
_cell_length_a 4.402
_cell_length_b 4.402
_cell_length_c 4.402
_cell_angle_alpha 90.00
_cell_angle_beta 90.00
_cell_angle_gamma 90.00
loop_
_atom_site_label
_atom_site_fract_x
_atom_site_fract_y
_atom_site_fract_z
Zr1 0.000 0.000 0.000
Be1 0.000 0.000 0.500
Pt1 0.500 0.500 0.500

x | # ZrBe3Pt PBE optimized geometry
# calculated volume	73	Å³/f.u.
data_ZrBe3Pt
_space_group_name_H-M_alt 'P m -3 m'
_space_group_IT_number 221
_space_group_name_Hall '-P 4 2 3'
_cell_length_a 4.184
_cell_length_b 4.184
_cell_length_c 4.184
_cell_angle_alpha 90.00
_cell_angle_beta 90.00
_cell_angle_gamma 90.00
loop_
_atom_site_label
_atom_site_fract_x
_atom_site_fract_y
_atom_site_fract_z
Zr1 0.000 0.000 0.000
Be1 0.000 0.500 0.500
Pt1 0.500 0.500 0.500

The most stable arrangement is x, and the next structure is 1913 meV/atom less stable.

w | # Zr4BePt PBE optimized geometry
# calculated volume	122	Å³/f.u.
data_Zr4BePt
_space_group_name_H-M_alt 'F -4 3 m'
_space_group_IT_number 216
_space_group_name_Hall 'F -4 2 3'
_cell_length_a 7.871
_cell_length_b 7.871
_cell_length_c 7.871
_cell_angle_alpha 90.00
_cell_angle_beta 90.00
_cell_angle_gamma 90.00
loop_
_atom_site_label
_atom_site_fract_x
_atom_site_fract_y
_atom_site_fract_z
Zr1 0.125 0.125 0.125
Be1 0.250 0.250 0.750
Pt1 0.000 0.000 0.500

x | # Zr4BePt PBE optimized geometry
# calculated volume	116	Å³/f.u.
data_Zr4BePt
_space_group_name_H-M_alt 'I 4 2 2'
_space_group_IT_number 97
_space_group_name_Hall 'I 4 2'
_cell_length_a 6.773
_cell_length_b 6.773
_cell_length_c 5.058
_cell_angle_alpha 90.00
_cell_angle_beta 90.00
_cell_angle_gamma 90.00
loop_
_atom_site_label
_atom_site_fract_x
_atom_site_fract_y
_atom_site_fract_z
Zr1 0.158 0.342 0.250
Be1 0.000 0.000 0.000
Pt1 0.000 0.000 0.500

The most stable arrangement is x, and the next structure is 836 meV/atom less stable.

w | # Pu2BeRh6 PBE optimized geometry
# calculated volume	143	Å³/f.u.
data_Pu2BeRh6
_space_group_name_H-M_alt 'F m -3 m'
_space_group_IT_number 225
_space_group_name_Hall '-F 4 2 3'
_cell_length_a 8.299
_cell_length_b 8.299
_cell_length_c 8.299
_cell_angle_alpha 90.00
_cell_angle_beta 90.00
_cell_angle_gamma 90.00
loop_
_atom_site_label
_atom_site_fract_x
_atom_site_fract_y
_atom_site_fract_z
Pu1 0.250 0.250 0.250
Be1 0.000 0.000 0.000
Rh1 0.000 0.000 0.263

x | # Pu2BeRh6 PBE optimized geometry
# calculated volume	144	Å³/f.u.
data_Pu2BeRh6
_space_group_name_H-M_alt 'C 1 2/m 1'
_space_group_IT_number 12
_space_group_name_Hall '-C 2y'
_cell_length_a 9.851
_cell_length_b 5.689
_cell_length_c 5.125
_cell_angle_alpha 90.00
_cell_angle_beta 90.09
_cell_angle_gamma 90.00
loop_
_atom_site_label
_atom_site_fract_x
_atom_site_fract_y
_atom_site_fract_z
Pu1 0.166 0.000 0.191
Be1 0.000 0.500 0.000
Rh1 0.086 0.243 0.709
Rh2 0.171 0.500 0.291

The most stable arrangement is w, and the next structure is 36 meV/atom less stable.

w | # PuScBe PBE optimized geometry
# calculated volume	47	Å³/f.u.
data_PuScBe
_space_group_name_H-M_alt 'I 4 m m'
_space_group_IT_number 107
_space_group_name_Hall 'I 4 -2'
_cell_length_a 2.652
_cell_length_b 2.652
_cell_length_c 13.415
_cell_angle_alpha 90.00
_cell_angle_beta 90.00
_cell_angle_gamma 90.00
loop_
_atom_site_label
_atom_site_fract_x
_atom_site_fract_y
_atom_site_fract_z
Pu1 0.000 0.000 0.000
Sc1 0.000 0.000 0.698
Be1 0.000 0.000 0.349

x | # PuScBe PBE optimized geometry
# calculated volume	58	Å³/f.u.
data_PuScBe
_space_group_name_H-M_alt 'C m c m'
_space_group_IT_number 63
_space_group_name_Hall '-C 2c 2'
_cell_length_a 4.815
_cell_length_b 8.321
_cell_length_c 5.781
_cell_angle_alpha 90.00
_cell_angle_beta 90.00
_cell_angle_gamma 90.00
loop_
_atom_site_label
_atom_site_fract_x
_atom_site_fract_y
_atom_site_fract_z
Pu1 0.000 0.000 0.000
Sc1 0.000 0.334 0.250
Be1 0.000 0.333 0.750

The most stable arrangement is x, and the next structure is 311 meV/atom less stable.

w | # Tb2PuBe PBE optimized geometry
# calculated volume	108	Å³/f.u.
data_Tb2PuBe
_space_group_name_H-M_alt 'R -3 m'
_space_group_IT_number 166
_space_group_name_Hall '-R 3 2"'
_cell_length_a 3.4074
_cell_length_b 3.4074
_cell_length_c 32.3441
_cell_angle_alpha 90.00
_cell_angle_beta 90.00
_cell_angle_gamma 120.00
loop_
_atom_site_label
_atom_site_fract_x
_atom_site_fract_y
_atom_site_fract_z
Tb1 0.0000 0.0000 0.1046
Pu1 0.0000 0.0000 0.0000
Be1 0.0000 0.0000 0.5000

x | # Tb2PuBe PBE optimized geometry
# calculated volume	100	Å³/f.u.
data_Tb2PuBe
_space_group_name_H-M_alt 'P 4/m m m'
_space_group_IT_number 123
_space_group_name_Hall '-P 4 2'
_cell_length_a 3.434
_cell_length_b 3.434
_cell_length_c 8.454
_cell_angle_alpha 90.00
_cell_angle_beta 90.00
_cell_angle_gamma 90.00
loop_
_atom_site_label
_atom_site_fract_x
_atom_site_fract_y
_atom_site_fract_z
Tb1 0.000 0.000 0.196
Pu1 0.500 0.500 0.500
Be1 0.500 0.500 0.000

The most stable arrangement is x, and the next structure is 310 meV/atom less stable.